Crystalline FeCoRu3 at its relaxed geometry, computed with PBE.

Summary:
Energy relative to the elements in kcal/mol of atoms: 38.2
SG: Pm-3m, No. 221
Energy relative to the lowest polymorph listed for this composition in meV/atom: 0

Lattice parameters (Å, degrees): 4.329 4.329 4.329 90.00 90.00 90.00
Atoms (fractional coordinates):
Ru (0.500, 0.000, 0.000)
Ru (0.000, 0.500, 0.000)
Co (0.500, 0.500, 0.500)
Fe (0.000, 0.000, 0.000)
Ru (0.000, 0.000, 0.500)